Entry 1:
This record from Alexandria describes a relaxed Ta2SiSe crystal. The functional is PBE.

It has space group Fm-3m (No. 225), with a = 6.3995 Å, b = 6.3995 Å, c = 6.3995 Å, α = 90.00°, β = 90.00° and γ = 90.00°. The distinct sites, in fractional coordinates, are Ta at (0.2500, 0.2500, 0.2500), Si at (0.0000, 0.0000, 0.0000) and Se at (0.0000, 0.0000, 0.5000).

The value obtained for the energy above the most stable polymorph in this dataset is 16.5 kJ per mole of atoms.

=====

Entry 2:
This record from Alexandria describes a relaxed Ta2SiSe crystal. The functional is PBE.

It has space group C2/m (No. 12), with a = 8.4261 Å, b = 2.9971 Å, c = 5.5770 Å, α = 90.00°, β = 103.91° and γ = 90.00°. The distinct sites, in fractional coordinates, are Ta at (0.2487, 0.0000, 0.2445), Si at (0.0000, 0.5000, 0.0000) and Se at (0.0000, 0.0000, 0.5000).

The value obtained for the energy above the most stable polymorph in this dataset is 37.0 kJ per mole of atoms.

=====

Entry 3:
This record from Alexandria describes a relaxed Ta2SiSe crystal. The functional is PBE.

It has space group Pmmm (No. 47), with a = 3.3793 Å, b = 4.0115 Å, c = 5.0211 Å, α = 90.00°, β = 90.00° and γ = 90.00°. The distinct sites, in fractional coordinates, are Ta at (0.0000, 0.0000, 0.0000), Ta at (0.5000, 0.0000, 0.5000), Si at (0.0000, 0.5000, 0.5000) and Se at (0.5000, 0.5000, 0.0000).

The value obtained for the energy above the most stable polymorph in this dataset is 40.0 kJ per mole of atoms.

=====

Entry 4:
This record from Alexandria describes a relaxed TaSiSe crystal. The functional is PBE.

It has space group I4mm (No. 107), with a = 3.3942 Å, b = 3.3942 Å, c = 8.5093 Å, α = 90.00°, β = 90.00° and γ = 90.00°. The distinct sites, in fractional coordinates, are Ta at (0.0000, 0.0000, 0.0000), Si at (0.0000, 0.0000, 0.3440) and Se at (0.0000, 0.0000, 0.6692).

=====

Entry 5:
This record from Alexandria describes a relaxed Ta4SiSe crystal. The functional is PBE.

It has space group F-43m (No. 216), with a = 7.7279 Å, b = 7.7279 Å, c = 7.7279 Å, α = 90.00°, β = 90.00° and γ = 90.00°. The distinct sites, in fractional coordinates, are Ta at (0.1243, 0.1243, 0.3757), Si at (0.2500, 0.2500, 0.7500) and Se at (0.0000, 0.0000, 0.0000).

=====

Entry 6:
This record from Alexandria describes a relaxed TaSiSe3 crystal. The functional is PBE.

It has space group Pm-3m (No. 221), with a = 4.7195 Å, b = 4.7195 Å, c = 4.7195 Å, α = 90.00°, β = 90.00° and γ = 90.00°. The distinct sites, in fractional coordinates, are Ta at (0.0000, 0.0000, 0.0000), Si at (0.5000, 0.5000, 0.5000) and Se at (0.0000, 0.5000, 0.5000).

The value obtained for the energy above the most stable polymorph in this dataset is 40.1 kJ per mole of atoms.

=====

Entry 7:
This record from Alexandria describes a relaxed Ta2SiSe crystal. The functional is PBE.

It has space group P4mm (No. 99), with a = 3.3772 Å, b = 3.3772 Å, c = 5.9289 Å, α = 90.00°, β = 90.00° and γ = 90.00°. The distinct sites, in fractional coordinates, are Ta at (0.0000, 0.0000, 0.0000), Ta at (0.5000, 0.5000, 0.3045), Si at (0.5000, 0.5000, 0.8220) and Se at (0.0000, 0.0000, 0.5032).

The value obtained for the energy above the most stable polymorph in this dataset is 0.0 kJ per mole of atoms.

=====

Entry 8:
This record from Alexandria describes a relaxed TaSiSe crystal. The functional is PBE.

It has space group F-43m (No. 216), with a = 6.1668 Å, b = 6.1668 Å, c = 6.1668 Å, α = 90.00°, β = 90.00° and γ = 90.00°. The distinct sites, in fractional coordinates, are Ta at (0.0000, 0.0000, 0.0000), Si at (0.2500, 0.2500, 0.7500) and Se at (0.0000, 0.0000, 0.5000).

=====

Taking the records one at a time from the top gives VASP energy values of -8.3100, -8.0973, -8.0661, -7.0686, -8.7634, -4.8597, -8.4812, -6.2992 eV per atom.
Taking the records one at a time from the top gives raw formation energy values of -0.157, 0.056, 0.087, -0.149, 0.623, 0.686, -0.328, 0.621 eV/atom.